1.
Below is a relaxed structure of ThTcMo, with properties calculated at the GGA-PBE level.

Output
Energy: -100.70 eV/cell
Calculated volume: 258 Å³/cell
Space-group type: F-43m, No. 216
ρ: 11.0 g/cm³

a = 6.363 Å, b = 6.363 Å, c = 6.363 Å
α = 90.00°, β = 90.00°, γ = 90.00°
Atoms (fractional coordinates):
1 Th 0.000 0.000 0.000
2 Th 0.000 0.500 0.500
3 Th 0.500 0.000 0.500
4 Th 0.500 0.500 0.000
5 Tc 0.250 0.250 0.250
6 Tc 0.250 0.750 0.750
7 Tc 0.750 0.250 0.750
8 Tc 0.750 0.750 0.250
9 Mo 0.250 0.250 0.750
10 Mo 0.250 0.750 0.250
11 Mo 0.750 0.250 0.250
12 Mo 0.750 0.750 0.750

---

2.
Below is a relaxed structure of CsCu3IrSe4, with properties calculated at the GGA-PBE level.

Output
Energy: -35.02 eV/cell
Calculated volume: 252 Å³/cell
Space-group type: P-43m, No. 215
ρ: 5.5 g/cm³

a = 6.314 Å, b = 6.314 Å, c = 6.314 Å
α = 90.00°, β = 90.00°, γ = 90.00°
Atoms (fractional coordinates):
1 Cs 0.000 0.000 0.000
2 Cu 0.000 0.500 0.500
3 Cu 0.500 0.000 0.500
4 Cu 0.500 0.500 0.000
5 Ir 0.500 0.500 0.500
6 Se 0.285 0.285 0.285
7 Se 0.285 0.715 0.715
8 Se 0.715 0.285 0.715
9 Se 0.715 0.715 0.285

---

3.
Below is a relaxed structure of TaZnSiNi, with properties calculated at the GGA-PBE level.

Output
Energy: -96.35 eV/cell
Calculated volume: 221 Å³/cell
Space-group type: F-43m, No. 216
ρ: 10.0 g/cm³

a = 6.050 Å, b = 6.050 Å, c = 6.050 Å
α = 90.00°, β = 90.00°, γ = 90.00°
Atoms (fractional coordinates):
1 Ta 0.000 0.000 0.000
2 Ta 0.000 0.500 0.500
3 Ta 0.500 0.000 0.500
4 Ta 0.500 0.500 0.000
5 Zn 0.250 0.250 0.750
6 Zn 0.250 0.750 0.250
7 Zn 0.750 0.250 0.250
8 Zn 0.750 0.750 0.750
9 Si 0.250 0.250 0.250
10 Si 0.250 0.750 0.750
11 Si 0.750 0.250 0.750
12 Si 0.750 0.750 0.250
13 Ni 0.000 0.000 0.500
14 Ni 0.000 0.500 0.000
15 Ni 0.500 0.000 0.000
16 Ni 0.500 0.500 0.500

---

4.
Below is a relaxed structure of BeTcSnAs, with properties calculated at the GGA-PBE level.

Output
Energy: -81.08 eV/cell
Calculated volume: 257 Å³/cell
Space-group type: F-43m, No. 216
ρ: 7.8 g/cm³

a = 6.362 Å, b = 6.362 Å, c = 6.362 Å
α = 90.00°, β = 90.00°, γ = 90.00°
Atoms (fractional coordinates):
1 Be 0.000 0.000 0.000
2 Be 0.000 0.500 0.500
3 Be 0.500 0.000 0.500
4 Be 0.500 0.500 0.000
5 Tc 0.250 0.250 0.250
6 Tc 0.250 0.750 0.750
7 Tc 0.750 0.250 0.750
8 Tc 0.750 0.750 0.250
9 Sn 0.250 0.250 0.750
10 Sn 0.250 0.750 0.250
11 Sn 0.750 0.250 0.250
12 Sn 0.750 0.750 0.750
13 As 0.000 0.000 0.500
14 As 0.000 0.500 0.000
15 As 0.500 0.000 0.000
16 As 0.500 0.500 0.500

---

5.
Below is a relaxed structure of Zr4Ni2CN, with properties calculated at the GGA-PBE level.

Output
Energy: -68.24 eV/cell
Calculated volume: 122 Å³/cell
Space-group type: P-3m1, No. 164
ρ: 6.9 g/cm³

a = 3.297 Å, b = 3.297 Å, c = 12.950 Å
α = 90.00°, β = 90.00°, γ = 120.00°
Atoms (fractional coordinates):
1 Zr 0.333 0.667 0.103
2 Zr 0.333 0.667 0.398
3 Zr 0.667 0.333 0.602
4 Zr 0.667 0.333 0.897
5 Ni 0.333 0.667 0.747
6 Ni 0.667 0.333 0.253
7 C 0.000 0.000 0.000
8 N 0.000 0.000 0.500

---

6.
Below is a relaxed structure of CsGdSbTe3, with properties calculated at the GGA-PBE level.

Output
Energy: -47.07 eV/cell
Calculated volume: 482 Å³/cell
Space-group type: Cmcm, No. 63
ρ: 5.5 g/cm³

a = 9.401 Å, b = 9.401 Å, c = 11.774 Å
α = 90.00°, β = 90.00°, γ = 152.38°
Atoms (fractional coordinates):
1 Cs 0.240 0.760 0.750
2 Cs 0.760 0.240 0.250
3 Gd 0.000 0.000 0.000
4 Gd 0.000 0.000 0.500
5 Sb 0.458 0.542 0.250
6 Sb 0.542 0.458 0.750
7 Te 0.083 0.917 0.250
8 Te 0.379 0.621 0.029
9 Te 0.379 0.621 0.471
10 Te 0.621 0.379 0.529
11 Te 0.621 0.379 0.971
12 Te 0.917 0.083 0.750

---

7.
Below is a relaxed structure of NdLuPt2, with properties calculated at the GGA-PBE level.

Output
Energy: -52.53 eV/cell
Calculated volume: 181 Å³/cell
Space-group type: Pmc2_1, No. 26
ρ: 13.1 g/cm³

a = 4.533 Å, b = 5.599 Å, c = 7.111 Å
α = 90.00°, β = 90.00°, γ = 90.00°
Atoms (fractional coordinates):
1 Nd 0.000 0.109 0.000
2 Nd 0.000 0.891 0.500
3 Lu 0.500 0.391 0.636
4 Lu 0.500 0.609 0.136
5 Pt 0.000 0.409 0.364
6 Pt 0.000 0.591 0.864
7 Pt 0.500 0.102 0.276
8 Pt 0.500 0.898 0.776

---

8.
Below is a relaxed structure of Pr2DyMg3AgAu2, with properties calculated at the GGA-PBE level.

Output
Energy: -32.96 eV/cell
Calculated volume: 219 Å³/cell
Space-group type: Amm2, No. 38
ρ: 7.7 g/cm³

a = 4.093 Å, b = 7.861 Å, c = 7.861 Å
α = 119.93°, β = 90.00°, γ = 90.00°
Atoms (fractional coordinates):
1 Pr 0.000 0.208 0.792
2 Pr 0.000 0.792 0.208
3 Dy 0.000 0.376 0.376
4 Mg 0.500 0.041 0.041
5 Mg 0.500 0.544 0.787
6 Mg 0.500 0.787 0.544
7 Ag 0.000 0.786 0.786
8 Au 0.500 0.135 0.456
9 Au 0.500 0.456 0.135

---

9.
Below is a relaxed structure of TmZrIn2Pd4, with properties calculated at the GGA-PBE level.

Output
Energy: -45.00 eV/cell
Calculated volume: 155 Å³/cell
Space-group type: P-6m2, No. 187
ρ: 9.8 g/cm³

a = 4.549 Å, b = 4.549 Å, c = 8.663 Å
α = 90.00°, β = 90.00°, γ = 120.00°
Atoms (fractional coordinates):
1 Tm 0.000 0.000 0.000
2 Zr 0.333 0.667 0.500
3 In 0.667 0.333 0.259
4 In 0.667 0.333 0.741
5 Pd 0.000 0.000 0.342
6 Pd 0.000 0.000 0.658
7 Pd 0.333 0.667 0.166
8 Pd 0.333 0.667 0.834

---

10.
Below is a relaxed structure of LaCoSiGe2, with properties calculated at the GGA-PBE level.

Output
Energy: -59.67 eV/cell
Calculated volume: 181 Å³/cell
Space-group type: I4mm, No. 107
ρ: 6.8 g/cm³

a = 4.313 Å, b = 4.313 Å, c = 9.750 Å
α = 90.00°, β = 90.00°, γ = 90.00°
Atoms (fractional coordinates):
1 La 0.000 0.000 0.000
2 La 0.500 0.500 0.500
3 Co 0.000 0.000 0.654
4 Co 0.500 0.500 0.154
5 Si 0.000 0.000 0.425
6 Si 0.500 0.500 0.925
7 Ge 0.000 0.500 0.257
8 Ge 0.000 0.500 0.757
9 Ge 0.500 0.000 0.257
10 Ge 0.500 0.000 0.757

---

11.
Below is a relaxed structure of Zr3ZnIn2Pd3, with properties calculated at the GGA-PBE level.

Output
Energy: -53.22 eV/cell
Calculated volume: 172 Å³/cell
Space-group type: Amm2, No. 38
ρ: 8.6 g/cm³

a = 3.505 Å, b = 7.545 Å, c = 7.545 Å
α = 120.25°, β = 90.00°, γ = 90.00°
Atoms (fractional coordinates):
1 Zr 0.000 0.000 0.000
2 Zr 0.000 0.429 0.811
3 Zr 0.000 0.811 0.429
4 Zn 0.500 0.692 0.692
5 In 0.500 0.144 0.410
6 In 0.500 0.410 0.144
7 Pd 0.000 0.434 0.434
8 Pd 0.500 0.076 0.743
9 Pd 0.500 0.743 0.076

---

12.
Below is a relaxed structure of CdIr2, with properties calculated at the GGA-PBE level.

Output
Energy: -59.79 eV/cell
Calculated volume: 228 Å³/cell
Space-group type: Fm-3m, No. 225
ρ: 14.5 g/cm³

a = 6.106 Å, b = 6.106 Å, c = 6.106 Å
α = 90.00°, β = 90.00°, γ = 90.00°
Atoms (fractional coordinates):
1 Cd 0.000 0.000 0.000
2 Cd 0.000 0.500 0.500
3 Cd 0.500 0.000 0.500
4 Cd 0.500 0.500 0.000
5 Ir 0.250 0.250 0.250
6 Ir 0.250 0.250 0.750
7 Ir 0.250 0.750 0.250
8 Ir 0.250 0.750 0.750
9 Ir 0.750 0.250 0.250
10 Ir 0.750 0.250 0.750
11 Ir 0.750 0.750 0.250
12 Ir 0.750 0.750 0.750